# Na2SnAu2 PBE-GGA optimized geometry
# **Spin magnetization**: 0.00 Bohr magnetons per cell
# **Calculated formation energy**: -0.07 eV/atom
# **Energy**: -2.706 eV per atom
# **Crystal system**: tetragonal
data_Na2SnAu2
_symmetry_space_group_name_H-M 'I 4/m m m'
_symmetry_Int_Tables_number 139
_symmetry_space_group_name_Hall '-I 4 2'
_cell_length_a 4.1290
_cell_length_b 4.1290
_cell_length_c 13.8752
_cell_angle_alpha 90.00
_cell_angle_beta 90.00
_cell_angle_gamma 90.00
loop_
_atom_site_label
_atom_site_type_symbol
_atom_site_fract_x
_atom_site_fract_y
_atom_site_fract_z
Na1 Na 0.0000 0.5000 0.2500
Sn1 Sn 0.0000 0.0000 0.0000
Au1 Au 0.0000 0.0000 0.4016